1.
The following is a DFT calculation (GGA-PBE) of a geometry-optimized TeC2 structure.

Geometry as POSCAR:
```
TeC2
1.0
4.1828 -6.3435 0.0000
4.1828 6.3435 0.0000
0.0000 0.0000 3.0442
C Te
4 2
Direct
0.0284 0.9716 0.2500
0.9716 0.0284 0.7500
0.8651 0.1349 0.7500
0.1349 0.8651 0.2500
0.2440 0.7560 0.7500
0.7560 0.2440 0.2500
```

The value obtained for the total magnetization is 0.0 μB/f.u.

=====

2.
The following is a DFT calculation (GGA-PBE) of a geometry-optimized TeC structure.

Geometry as POSCAR:
```
TeC
1.0
5.3098 0.0000 0.0000
0.0000 5.3098 0.0000
0.0000 0.0000 5.3098
Te C
4 4
Direct
0.9710 0.9710 0.9710
0.0290 0.4710 0.5290
0.4710 0.5290 0.0290
0.5290 0.0290 0.4710
0.4104 0.4104 0.4104
0.0896 0.5896 0.9104
0.5896 0.9104 0.0896
0.9104 0.0896 0.5896
```

The value obtained for the total magnetization is 0.0 μB/f.u.

=====

3.
The following is a DFT calculation (GGA-PBE) of a geometry-optimized TeC structure.

Geometry as POSCAR:
```
TeC
1.0
-1.6826 -4.9949 7.4049
-5.1111 -5.5887 -4.9311
5.7569 -4.0241 -1.4063
Te C
16 16
Direct
0.7500 0.7500 0.4851
0.2500 0.7500 0.9851
0.0000 0.0000 0.2649
0.5000 0.5000 0.2649
0.7500 0.2500 0.9851
0.5000 0.0000 0.2351
0.0000 0.5000 0.7649
0.0000 0.0000 0.7351
0.2500 0.2500 0.0149
0.7500 0.7500 0.0149
0.5000 0.0000 0.7649
0.7500 0.2500 0.5149
0.2500 0.2500 0.4851
0.2500 0.7500 0.5149
0.0000 0.5000 0.2351
0.5000 0.5000 0.7351
0.5000 0.8382 0.0000
0.7500 0.5882 0.2500
0.2500 0.9118 0.7500
0.0000 0.8382 0.5000
0.7500 0.0882 0.7500
0.5000 0.1618 0.0000
0.0000 0.1618 0.5000
0.2500 0.5882 0.7500
0.0000 0.6618 0.0000
0.0000 0.3382 0.0000
0.2500 0.0882 0.2500
0.2500 0.4118 0.2500
0.7500 0.4118 0.7500
0.5000 0.6618 0.5000
0.7500 0.9118 0.2500
0.5000 0.3382 0.5000
```

The value obtained for the total magnetization is 0.0 μB/f.u.

=====

4.
The following is a DFT calculation (GGA-PBE) of a geometry-optimized Te3C4 structure.

Geometry as POSCAR:
```
Te3C4
1.0
5.0717 0.0000 0.0000
0.0000 5.0717 0.0000
0.0000 0.0000 5.0717
C Te
4 3
Direct
0.7695 0.7695 0.7695
0.7695 0.2305 0.2305
0.2305 0.7695 0.2305
0.2305 0.2305 0.7695
0.0000 0.5000 0.5000
0.5000 0.0000 0.5000
0.5000 0.5000 0.0000
```

The value obtained for the total magnetization is 0.0 μB/f.u.

=====

5.
The following is a DFT calculation (GGA-PBE) of a geometry-optimized Te4C5 structure.

Geometry as POSCAR:
```
Te4C5
1.0
-5.4669 5.4669 1.3668
5.4669 -5.4669 1.3668
5.4669 5.4669 -1.3668
Te C
4 5
Direct
0.0000 0.2338 0.2338
0.7662 0.0000 0.7662
0.2338 0.0000 0.2338
0.0000 0.7662 0.7662
0.0000 0.0000 0.0000
0.7685 0.2315 0.0000
0.2315 0.2315 0.4629
0.7685 0.7685 0.5371
0.2315 0.7685 0.0000
```

The value obtained for the total magnetization is 0.0 μB/f.u.

=====

6.
The following is a DFT calculation (GGA-PBE) of a geometry-optimized Te2C structure.

Geometry as POSCAR:
```
Te2C
1.0
4.5670 0.0000 0.0000
2.2835 3.9551 0.0000
2.2835 1.3184 3.7289
Te C
2 1
Direct
0.7500 0.7500 0.7500
0.2500 0.2500 0.2500
0.0000 0.0000 0.0000
```

The value obtained for the total magnetization is 0.0 μB/f.u.

=====

7.
The following is a DFT calculation (GGA-PBE) of a geometry-optimized TeC2 structure.

Geometry as POSCAR:
```
TeC2
1.0
1.3614 -2.3580 0.0000
1.3614 2.3580 0.0000
0.0000 0.0000 18.6371
C Te
4 2
Direct
0.3333 0.6667 0.0000
0.3333 0.6667 0.5000
0.6667 0.3333 0.5000
0.6667 0.3333 0.0000
0.3333 0.6667 0.7500
0.6667 0.3333 0.2500
```

The value obtained for the total magnetization is 0.0 μB/f.u.

=====

8.
The following is a DFT calculation (GGA-PBE) of a geometry-optimized TeC2 structure.

Geometry as POSCAR:
```
TeC2
1.0
1.7471 5.2969 -0.2440
-1.7471 5.2969 -0.2440
0.0000 2.4097 5.8214
C Te
4 2
Direct
0.2537 0.2537 0.3759
0.5072 0.5072 0.3405
0.3861 0.3861 0.3583
0.2078 0.2078 0.9246
0.7084 0.7084 0.1323
0.1035 0.1035 0.7017
```

The value obtained for the total magnetization is 0.0 μB/f.u.

=====

Ρ list, top to bottom, in Mg/m³: 3.12, 6.19, 6.30, 5.48, 5.80, 6.59, 4.21, 4.59
Raw total energy list, top to bottom, in eV per atom: -6.12, -4.69, -4.50, -4.32, -5.18, -3.37, -6.24, -5.72